No. 1
A crystal of PRhBr2 relaxed with PBEsol, computed with meta-GGA SCAN.

a = 3.387 Å, b = 3.387 Å, c = 7.491 Å
α = 90.00°, β = 90.00°, γ = 90.00°
Fractional positions:
Br1 0.500 0.500 0.291
Br2 0.000 0.000 0.948
Rh1 0.500 0.500 0.613
P1 0.000 0.000 0.649

Values from the calculation:
E_form (uncorrected) ... -155 meV per atom
Total DFT energy (no corrections) ... -20.93 eV per atom


No. 2
A crystal of Ni2BCl relaxed with PBEsol, computed with meta-GGA SCAN.

a = 3.902 Å, b = 3.902 Å, c = 3.902 Å
α = 60.00°, β = 60.00°, γ = 60.00°
Fractional positions:
Cl1 0.500 0.500 0.500
Ni1 0.250 0.250 0.250
B1 0.000 0.000 0.000
Ni2 0.750 0.750 0.750

Values from the calculation:
E_form (uncorrected) ... 860 meV per atom
Total DFT energy (no corrections) ... -11.08 eV per atom


No. 3
A crystal of Tl2SnGePd relaxed with PBEsol, computed with meta-GGA SCAN.

a = 5.189 Å, b = 5.544 Å, c = 5.544 Å
α = 90.00°, β = 90.00°, γ = 90.00°
Fractional positions:
Pd1 0.500 0.500 0.500
Tl1 0.000 0.000 0.500
Ge1 0.500 0.000 0.000
Tl2 0.000 0.500 0.000
Sn1 0.000 0.000 0.000

Values from the calculation:
Formation energy ... 0.9345 eV per atom
Total DFT energy (no corrections) ... -45.57 eV per atom


V in Å³ per cell, matching the order above: 85.9; 42.0; 159.5